No. 1
DFT (PBE-GGA) results for ScCu2Te after structural relaxation.

```
ScCu2Te
1.0
7.525 0.000 0.000
0.000 7.525 0.000
3.763 3.763 2.757
Cu Sc Te
4 2 2
direct
0.646 0.125 0.250
0.104 0.625 0.250
0.375 0.354 0.750
0.875 0.896 0.750
0.500 0.500 0.000
0.250 0.750 0.500
0.750 0.250 0.500
0.000 0.000 0.000
```

Computed properties:
space-group type = I-42d, No. 122
final energy = -4.486 eV/atom
Fermi-level density of states = 0.875 states/eV/atom
distance to the lowest polymorph of the same formula = 0.94 eV per formula unit
raw formation energy = -0.070 eV per atom
volume = 156 Å³/cell

No. 2
DFT (PBE-GGA) results for Sc2CuTe4 after structural relaxation.

```
Sc2CuTe4
1.0
7.323 0.000 0.230
0.000 6.159 0.000
-2.437 0.000 7.912
Te Sc Cu
8 4 2
direct
0.481 0.996 0.749
0.074 0.750 0.414
0.519 0.004 0.251
0.926 0.250 0.586
0.519 0.496 0.251
0.481 0.504 0.749
0.054 0.750 0.868
0.946 0.250 0.132
0.257 0.250 0.443
0.792 0.750 0.085
0.743 0.750 0.557
0.208 0.250 0.915
0.223 0.750 0.173
0.777 0.250 0.827
```

Computed properties:
space-group type = P2_1/m, No. 11
final energy = -4.912 eV/atom
Fermi-level density of states = 0.122 states/eV/atom
distance to the lowest polymorph of the same formula = 0.00 eV per formula unit
raw formation energy = -0.723 eV per atom
volume = 360 Å³/cell

No. 3
DFT (PBE-GGA) results for ScCuTe2 after structural relaxation.

```
ScCuTe2
1.0
-2.683 -1.034 -3.051
1.465 -5.835 0.689
-2.759 -0.391 2.559
Sc Te Cu
1 2 1
direct
0.000 0.500 0.500
0.500 0.500 0.000
0.000 0.000 0.000
0.500 0.000 0.500
```

Computed properties:
space-group type = Pmmm, No. 47
final energy = -4.518 eV/atom
Fermi-level density of states = 0.417 states/eV/atom
raw formation energy = -0.340 eV per atom
volume = 96 Å³/cell

No. 4
DFT (PBE-GGA) results for ScCuTe after structural relaxation.

```
ScCuTe
1.0
5.075 -0.112 0.129
3.731 3.441 0.132
1.343 0.505 3.518
Cu Te Sc
1 1 1
direct
0.996 0.996 0.004
0.675 0.675 0.325
0.329 0.329 0.671
```

Computed properties:
space-group type = I4mm, No. 107
final energy = -4.894 eV/atom
Fermi-level density of states = 0.712 states/eV/atom
raw formation energy = -0.371 eV per atom
volume = 62 Å³/cell